# TbScIrRu GGA-PBE optimized geometry
data_TbScIrRu
_cell_length_a 3.319
_cell_length_b 3.319
_cell_length_c 6.656
_cell_angle_alpha 90.00
_cell_angle_beta 90.00
_cell_angle_gamma 90.00
_space_group_name_H-M_alt 'P 4 m m'
_space_group_IT_number 99
loop_
_space_group_symop_operation_xyz
'x,y,z'
'-y,x,z'
'-x,-y,z'
'y,-x,z'
'-x,y,z'
'y,x,z'
'x,-y,z'
'-y,-x,z'
loop_
_atom_site_label
_atom_site_type_symbol
_atom_site_fract_x
_atom_site_fract_y
_atom_site_fract_z
Tb1 Tb 0.000 0.000 0.000
Sc1 Sc 0.000 0.000 0.490
Ir1 Ir 0.500 0.500 0.729
Ru1 Ru 0.500 0.500 0.261
# **Distance to the lowest polymorph of the same formula**: 0.04 eV/f.u.
# **Total energy**: -7.928 eV/atom
# **M_tot**: 0.000 μB/atom
# **Volume**: 18.33 Å³/atom
# **DOS(E_F)**: 0.36 states/eV/atom
# **Formation energy from the elements**: -0.654 eV/atom



# ThScIrRu GGA-PBE optimized geometry
data_ThScIrRu
_cell_length_a 6.832
_cell_length_b 6.832
_cell_length_c 6.832
_cell_angle_alpha 90.00
_cell_angle_beta 90.00
_cell_angle_gamma 90.00
_space_group_name_H-M_alt 'F -4 3 m'
_space_group_IT_number 216
_space_group_name_Hall 'F -4 2 3'
loop_
_atom_site_label
_atom_site_type_symbol
_atom_site_fract_x
_atom_site_fract_y
_atom_site_fract_z
Th1 Th 0.000 0.000 0.000
Sc1 Sc 0.000 0.000 0.500
Ir1 Ir 0.250 0.250 0.750
Ru1 Ru 0.250 0.250 0.250
# **Total energy**: -8.620 eV/atom
# **M_tot**: 0.000 μB/atom
# **Volume**: 19.93 Å³/atom
# **DOS(E_F)**: 0.63 states/eV/atom
# **Formation energy from the elements**: -0.648 eV/atom



# ScUIrRu GGA-PBE optimized geometry
data_ScUIrRu
_cell_length_a 6.649
_cell_length_b 6.649
_cell_length_c 6.649
_cell_angle_alpha 90.00
_cell_angle_beta 90.00
_cell_angle_gamma 90.00
_space_group_name_H-M_alt 'F -4 3 m'
_space_group_IT_number 216
_space_group_name_Hall 'F -4 2 3'
loop_
_atom_site_label
_atom_site_type_symbol
_atom_site_fract_x
_atom_site_fract_y
_atom_site_fract_z
Sc1 Sc 0.000 0.000 0.000
U1 U 0.000 0.000 0.500
Ir1 Ir 0.250 0.250 0.250
Ru1 Ru 0.250 0.250 0.750
# **Total energy**: -9.448 eV/atom
# **M_tot**: 0.530 μB/atom
# **Volume**: 18.37 Å³/atom
# **DOS(E_F)**: 1.92 states/eV/atom
# **Formation energy from the elements**: -0.508 eV/atom